First-principles (PBE-GGA) data for a relaxed Ti4AlGa crystal, as listed in Alexandria via LeMat-Bulk.

## Properties
Formation energy from the elements = 0.155 eV/atom
Raw total energy = -6.236 eV/atom

POSCAR file:
```
Ti4AlGa
1.0
4.338 0.000 0.000
0.000 4.338 0.000
0.000 0.000 6.111
Ti Al Ga
4 1 1
Cartesian
0.000 2.169 1.520
0.000 2.169 4.590
2.169 0.000 1.520
2.169 0.000 4.590
0.000 0.000 3.055
2.169 2.169 0.000
```

First-principles (PBE-GGA) data for a relaxed Ti4Al2Ga crystal, as listed in Alexandria via LeMat-Bulk.

## Properties
Formation energy from the elements = 0.421 eV/atom
Raw total energy = -5.592 eV/atom

POSCAR file:
```
Ti4Al2Ga
1.0
4.557 0.000 0.000
0.000 4.557 0.000
0.000 0.000 13.859
Ti Al Ga
8 4 2
Cartesian
0.000 0.000 2.450
0.000 0.000 11.409
0.000 2.279 0.000
0.000 2.279 6.930
2.279 0.000 0.000
2.279 0.000 6.930
2.279 2.279 4.479
2.279 2.279 9.380
0.000 0.000 5.178
0.000 0.000 8.681
2.279 2.279 1.752
2.279 2.279 12.107
0.000 0.000 0.000
2.279 2.279 6.930
```

First-principles (PBE-GGA) data for a relaxed Ti5Al4Ga crystal, as listed in Alexandria via LeMat-Bulk.

## Properties
Formation energy from the elements = -0.294 eV/atom
Raw total energy = -6.041 eV/atom

POSCAR file:
```
Ti5Al4Ga
1.0
3.377 0.000 0.000
0.000 3.377 0.000
0.000 0.000 14.204
Ti Al Ga
5 4 1
Cartesian
0.000 0.000 0.000
0.000 0.000 2.869
0.000 0.000 5.752
0.000 0.000 8.452
0.000 0.000 11.334
1.688 1.688 1.433
1.688 1.688 4.282
1.688 1.688 9.922
1.688 1.688 12.770
1.688 1.688 7.102
```

Repeat the second record exactly.
First-principles (PBE-GGA) data for a relaxed Ti4Al2Ga crystal, as listed in Alexandria via LeMat-Bulk.

## Properties
Formation energy from the elements = 0.421 eV/atom
Raw total energy = -5.592 eV/atom

POSCAR file:
```
Ti4Al2Ga
1.0
4.557 0.000 0.000
0.000 4.557 0.000
0.000 0.000 13.859
Ti Al Ga
8 4 2
Cartesian
0.000 0.000 2.450
0.000 0.000 11.409
0.000 2.279 0.000
0.000 2.279 6.930
2.279 0.000 0.000
2.279 0.000 6.930
2.279 2.279 4.479
2.279 2.279 9.380
0.000 0.000 5.178
0.000 0.000 8.681
2.279 2.279 1.752
2.279 2.279 12.107
0.000 0.000 0.000
2.279 2.279 6.930
```

> The lowest raw total energy belongs to which entry?

Ti4AlGa

> formation energy from the elements of number 1 (Ti4AlGa)?

0.155 eV/atom

> What is the formula in the second record?

Ti4Al2Ga